This record from Alexandria describes crystalline Cs2SrZnI6 at its relaxed geometry. The functional is PBE-GGA.

Geometry as CIF:
```
data_Cs2SrZnI6
_chemical_formula_sum 'Cs2 Sr1 Zn1 I6'
_cell_length_a 8.660
_cell_length_b 8.660
_cell_length_c 8.660
_cell_angle_alpha 60.00
_cell_angle_beta 60.00
_cell_angle_gamma 60.00
_space_group_name_H-M_alt 'P 1'
_space_group_IT_number 1
loop_
_space_group_symop_operation_xyz
'x,y,z'
loop_
_atom_site_label
_atom_site_fract_x
_atom_site_fract_y
_atom_site_fract_z
Cs1 0.250 0.250 0.250
Cs2 0.750 0.750 0.750
Sr1 0.000 0.000 0.000
Zn1 0.500 0.500 0.500
I1 0.265 0.265 0.735
I2 0.265 0.735 0.265
I3 0.265 0.735 0.735
I4 0.735 0.265 0.265
I5 0.735 0.265 0.735
I6 0.735 0.735 0.265
```

calculated total energy = -2.63 eV/atom
formation energy without anion corrections = -1.235 eV/atom